Entry 1:
Density functional theory data (PBE) for an optimized crystal structure of Rb2ZnSi.

a b c (Å): 13.8322 13.8322 10.0422
angles (deg): 46.47 46.47 90.00
Last column: nearest neighbours and their distance in Å.
Sites, in units of the cell vectors:
1 Zn 0.0000 0.0000 0.0000  2 Si 2.28
2 Zn 0.7500 0.2500 0.5000  2 Si 2.28
3 Si 0.5000 0.5000 0.0000  2 Zn 2.28
4 Si 0.2500 0.7500 0.5000  2 Zn 2.28
5 Rb 0.3755 0.1250 0.2500  2 Si 3.50, 2 Zn 3.86
6 Rb 0.3745 0.6250 0.2500  2 Si 3.50, 2 Zn 3.86
7 Rb 0.3750 0.6245 0.7500  2 Si 3.50, 2 Zn 3.86
8 Rb 0.8750 0.6255 0.7500  2 Si 3.50, 2 Zn 3.86

Space group: I-42d (122)
DFT total energy in eV for the cell shown: -15.9
Crystal system: tetragonal
ΔE_f (raw) in meV per atom: 165.2

Entry 2:
Density functional theory data (PBE) for an optimized crystal structure of PaVGe2Mo.

a b c (Å): 3.9027 3.9027 6.5378
angles (deg): 107.37 107.37 90.00
Last column: nearest neighbours and their distance in Å.
Sites, in units of the cell vectors:
1 Pa 0.0000 0.0000 0.0000  8 Ge 3.05
2 V 0.7500 0.2500 0.5000  4 Ge 2.57, 4 Mo 2.76
3 Ge 0.6089 0.6089 0.2177  2 Mo 2.57, 2 V 2.57, 1 Ge 2.58
4 Ge 0.3911 0.3911 0.7823  2 Mo 2.57, 2 V 2.57, 1 Ge 2.58
5 Mo 0.2500 0.7500 0.5000  4 Ge 2.57, 4 V 2.76

Space group: I-4m2 (119)
Calculated formation energy in eV per atom: -0.307
DFT total energy in eV for the cell shown: -40.2
Crystal system: tetragonal

Entry 3:
Density functional theory data (PBE) for an optimized crystal structure of LaPmCu2.

a b c (Å): 3.9765 4.5535 5.7204
angles (deg): 90.00 110.88 90.00
Last column: nearest neighbours and their distance in Å.
Sites, in units of the cell vectors:
1 La 0.7251 0.0000 0.9905  7 Cu 2.99-3.15
2 Pm 0.4431 0.5000 0.4238  7 Cu 2.94-3.16
3 Cu 0.1489 0.5000 0.8325  2 Cu 2.67, 2 Pm 2.94-2.96
4 Cu 0.0138 0.0000 0.5712  2 Cu 2.67, 1 La 2.99

Space group: Pm (6)
Calculated formation energy in eV per atom: -0.178
DFT total energy in eV for the cell shown: -18.6
Crystal system: monoclinic

Entry 4:
Density functional theory data (PBE) for an optimized crystal structure of Ta2SnTe4.

a b c (Å): 7.9347 7.8722 8.2530
angles (deg): 106.45 118.73 89.99
Last column: nearest neighbours and their distance in Å.
Sites, in units of the cell vectors:
1 Ta 0.6250 0.8750 0.2500  6 Te 2.80-2.82
2 Ta 0.6250 0.3750 0.7500  6 Te 2.82-3.12, 2 Sn 3.07
3 Ta 0.1250 0.3750 0.7500  6 Te 2.82-3.12, 2 Sn 3.07
4 Ta 0.6250 0.3750 0.2500  6 Te 2.83-2.89
5 Sn 0.2354 0.4636 0.4710  1 Te 2.75, 1 Sn 3.05, 2 Ta 3.07
6 Sn 0.0146 0.2864 0.0290  1 Te 2.75, 1 Sn 3.05, 2 Ta 3.07
7 Te 0.8291 0.5889 0.6583  3 Ta 2.82-2.89
8 Te 0.4209 0.1611 0.8417  3 Ta 2.82-2.89
9 Te 0.9083 0.1445 0.3185  3 Ta 2.82-3.06, 1 Sn 3.11
10 Te 0.4103 0.1446 0.3185  3 Ta 2.82-3.06, 1 Sn 3.12
11 Te 0.8270 0.0516 0.6539  1 Sn 2.75, 1 Ta 2.80
12 Te 0.3417 0.6055 0.1815  3 Ta 2.82-3.06, 1 Sn 3.11
13 Te 0.8397 0.6054 0.1815  3 Ta 2.82-3.06, 1 Sn 3.11
14 Te 0.4230 0.6984 0.8461  1 Sn 2.75, 1 Ta 2.80

Space group: C2/m (12)
DFT total energy in eV for the cell shown: -78.9
Crystal system: monoclinic
ΔE_f (raw) in meV per atom: 116.6

Entry 5:
Density functional theory data (PBE) for an optimized crystal structure of GdY2.

a b c (Å): 6.6462 6.6462 6.6462
angles (deg): 60.00 60.00 60.00
Last column: nearest neighbours and their distance in Å.
Sites, in units of the cell vectors:
1 Y 0.1250 0.6250 0.6250  6 Y 3.32
2 Y 0.6250 0.1250 0.6250  6 Y 3.32
3 Y 0.6250 0.6250 0.6250  6 Y 3.32
4 Y 0.6250 0.6250 0.1250  6 Y 3.32
5 Gd 0.0000 0.0000 0.0000  12 Y 3.90, 4 Gd 4.07
6 Gd 0.2500 0.2500 0.2500  12 Y 3.90, 4 Gd 4.07

Space group: Fd-3m (227)
Calculated formation energy in eV per atom: 0.265
DFT total energy in eV for the cell shown: -52.4
Crystal system: cubic

Entry 6:
Density functional theory data (PBE) for an optimized crystal structure of Si2NiP.

a b c (Å): 5.5548 5.5548 5.5548
angles (deg): 145.34 144.34 50.58
Last column: nearest neighbours and their distance in Å.
Sites, in units of the cell vectors:
1 Ni 0.4975 0.4975 0.0000  6 Si 2.37-2.49, 2 P 2.40
2 P 0.3240 0.8240 0.5000  2 Ni 2.40, 2 Si 2.42
3 Si 0.9960 0.9960 0.0000  4 Ni 2.37, 2 P 2.42, 2 Si 2.53
4 Si 0.6825 0.1825 0.5000  2 Ni 2.49, 2 Si 2.53, 4 P 2.77

Space group: Imm2 (44)
DFT total energy in eV for the cell shown: -21.6
Crystal system: orthorhombic
ΔE_f (raw) in meV per atom: 110.0

Entry 7:
Density functional theory data (PBE) for an optimized crystal structure of BeHgP2Cl.

a b c (Å): 4.4691 4.4691 4.5969
angles (deg): 90.00 90.00 90.00
Last column: nearest neighbours and their distance in Å.
Sites, in units of the cell vectors:
1 P 0.0000 0.5000 0.0000  2 Be 2.23
2 P 0.5000 0.0000 0.0000  2 Be 2.23
3 Be 0.0000 0.0000 0.0000  4 P 2.23, 2 Cl 2.30
4 Hg 0.5000 0.5000 0.5000  4 Cl 3.16, 8 P 3.21
5 Cl 0.0000 0.0000 0.5000  2 Be 2.30

Space group: P4/mmm (123)
DFT total energy in eV for the cell shown: -14.3
Crystal system: tetragonal
ΔE_f (raw) in meV per atom: 485.2

Entry 8:
Density functional theory data (PBE) for an optimized crystal structure of Ta2HgW.

a b c (Å): 4.7673 2.8616 5.3974
angles (deg): 82.91 90.00 90.00
Last column: nearest neighbours and their distance in Å.
Sites, in units of the cell vectors:
1 Hg 0.5000 0.6395 0.7636  7 Ta 2.82-3.14, 2 Hg 2.86, 2 W 2.89
2 Ta 0.0000 0.0204 0.9985  1 W 2.69, 4 Ta 2.86-2.93, 2 Hg 2.97
3 Ta 0.5000 0.2633 0.2710  2 W 2.80, 3 Hg 2.82-3.01, 4 Ta 2.86-2.93
4 W 0.0000 0.5768 0.4669  3 Ta 2.69-2.80, 2 W 2.86, 2 Hg 2.89

Space group: Pm (6)
Calculated formation energy in eV per atom: 0.331
DFT total energy in eV for the cell shown: -35.6
Crystal system: monoclinic

Q: Which value of DFT total energy does entry 7 give?
A: -14.3 eV for the cell shown

Q: Number 1 is which compound?
A: Rb2ZnSi

Q: Among the records above, which one has the highest DFT total energy?
A: BeHgP2Cl

Q: Which value of DFT total energy does entry 5 give?
A: -52.4 eV for the cell shown